Entry from the Alexandria database: an optimized crystal structure of BaCd2Os (GGA-PBEsol).

a = 7.172 Å, b = 7.172 Å, c = 7.172 Å
α = 90.00°, β = 90.00°, γ = 90.00°
Space group F-43m (No. 216)
Asymmetric unit:
Ba 0.000 0.000 0.000 (multiplicity 4)
Cd 0.000 0.000 0.500 (multiplicity 4)
Cd 0.250 0.250 0.250 (multiplicity 4)
Os 0.250 0.250 0.750 (multiplicity 4)

VASP energy: -13.8 eV/f.u.
E_form: 2.945 eV per formula unit
size of the total moment: 0.0000 μB per atom
DOS at the Fermi energy: 1.6 states/eV per cell
calculated density: 9.94 g cm⁻³